# Ce2TcN4

A relaxed structure of Ce2TcN4 (PBE-GGA, the Alexandria database).

Unit cell a=5.958 b=5.564 c=6.753 alpha=90.00 beta=108.46 gamma=90.00
Fractional coordinates of all 14 atoms:
Ce1 0.202 0.250 0.042
Ce2 0.281 0.250 0.567
Ce3 0.719 0.750 0.433
Ce4 0.798 0.750 0.958
Tc1 0.261 0.750 0.806
Tc2 0.739 0.250 0.194
N1 0.028 0.506 0.753
N2 0.028 0.994 0.753
N3 0.447 0.750 0.084
N4 0.456 0.750 0.635
N5 0.544 0.250 0.365
N6 0.553 0.250 0.916
N7 0.972 0.006 0.247
N8 0.972 0.494 0.247

Summary:
Theoretical density, g cm⁻³: 6.792
Offset from the most stable computed form, eV/atom: 0.178
Space group: P2_1/m
Energy relative to the elements, uncorrected, eV/atom: -0.8231